Entry 1:
TmPuCd17 | PBE | optimized geometry

a = 7.6889 Å, b = 7.6889 Å, c = 7.6889 Å
α = 81.47°, β = 81.47°, γ = 81.47°
Atoms (fractional coordinates):
Tm 0.0000 0.0000 0.0000
Pu 0.6550 0.6550 0.6550
Cd 0.0203 0.3202 0.6288
Cd 0.0203 0.6288 0.3202
Cd 0.1037 0.7055 0.7055
Cd 0.2189 0.2189 0.2189
Cd 0.3202 0.0203 0.6288
Cd 0.3202 0.6288 0.0203
Cd 0.3500 0.3500 0.7933
Cd 0.3500 0.7933 0.3500
Cd 0.4115 0.4115 0.4115
Cd 0.4404 0.9781 0.9781
Cd 0.6288 0.0203 0.3202
Cd 0.6288 0.3202 0.0203
Cd 0.7055 0.1037 0.7055
Cd 0.7055 0.7055 0.1037
Cd 0.7933 0.3500 0.3500
Cd 0.9781 0.4404 0.9781
Cd 0.9781 0.9781 0.4404


Entry 2:
Tm4PuCd | PBE | optimized geometry

a = 8.3251 Å, b = 8.3251 Å, c = 8.3251 Å
α = 99.63°, β = 99.63°, γ = 131.70°
Atoms (fractional coordinates):
Tm 0.2188 0.4860 0.7328
Tm 0.2360 0.0033 0.7672
Tm 0.2360 0.4688 0.2328
Tm 0.2657 0.0000 0.2657
Tm 0.7343 0.0000 0.7343
Tm 0.7500 0.5157 0.7657
Tm 0.7500 0.9843 0.2343
Tm 0.7533 0.4860 0.2672
Pu 0.0041 0.0041 0.0000
Pu 0.7541 0.2541 0.5000
Cd 0.2475 0.7475 0.5000
Cd 0.4975 0.4975 0.0000


Entry 3:
YTmPuCd | PBE | optimized geometry

a = 7.6129 Å, b = 7.6129 Å, c = 7.6129 Å
α = 90.00°, β = 90.00°, γ = 90.00°
Atoms (fractional coordinates):
Y 0.0000 0.0000 0.0000
Y 0.0000 0.5000 0.5000
Y 0.5000 0.0000 0.5000
Y 0.5000 0.5000 0.0000
Tm 0.0000 0.0000 0.5000
Tm 0.0000 0.5000 0.0000
Tm 0.5000 0.0000 0.0000
Tm 0.5000 0.5000 0.5000
Pu 0.2500 0.2500 0.7500
Pu 0.2500 0.7500 0.2500
Pu 0.7500 0.2500 0.2500
Pu 0.7500 0.7500 0.7500
Cd 0.2500 0.2500 0.2500
Cd 0.2500 0.7500 0.7500
Cd 0.7500 0.2500 0.7500
Cd 0.7500 0.7500 0.2500


Entry 4:
Y2PuCd | PBE | optimized geometry

Computed properties:
The calculation puts the offset from the most stable computed form at 280 meV per atom.

a = 3.4324 Å, b = 3.4324 Å, c = 35.2084 Å
α = 90.00°, β = 90.00°, γ = 120.00°
Atoms (fractional coordinates):
Y 0.0000 0.0000 0.0938
Y 0.0000 0.0000 0.9062
Y 0.3333 0.6667 0.5729
Y 0.3333 0.6667 0.7605
Y 0.6667 0.3333 0.2395
Y 0.6667 0.3333 0.4271
Pu 0.0000 0.0000 0.0000
Pu 0.3333 0.6667 0.6667
Pu 0.6667 0.3333 0.3333
Cd 0.0000 0.0000 0.5000
Cd 0.3333 0.6667 0.1667
Cd 0.6667 0.3333 0.8333


Entry 5:
Y2PuCd | PBE | optimized geometry

Computed properties:
The calculation puts the offset from the most stable computed form at 0 meV per atom.

a = 3.5207 Å, b = 3.5207 Å, c = 9.1002 Å
α = 90.00°, β = 90.00°, γ = 90.00°
Atoms (fractional coordinates):
Y 0.0000 0.0000 0.2311
Y 0.0000 0.0000 0.7689
Pu 0.5000 0.5000 0.5000
Cd 0.5000 0.5000 0.0000


Entry 6:
YPuCd2 | PBE | optimized geometry

Computed properties:
The calculation puts the offset from the most stable computed form at 7 meV per atom.

a = 3.2828 Å, b = 3.2828 Å, c = 9.4639 Å
α = 90.00°, β = 90.00°, γ = 90.00°
Atoms (fractional coordinates):
Y 0.0000 0.0000 0.0000
Pu 0.0000 0.0000 0.5000
Cd 0.5000 0.5000 0.2443
Cd 0.5000 0.5000 0.7557


Entry 7:
Y2PuCd | PBE | optimized geometry

Computed properties:
The calculation puts the offset from the most stable computed form at 131 meV per atom.

a = 7.6654 Å, b = 7.6654 Å, c = 7.6654 Å
α = 90.00°, β = 90.00°, γ = 90.00°
Atoms (fractional coordinates):
Y 0.2500 0.2500 0.2500
Y 0.2500 0.2500 0.7500
Y 0.2500 0.7500 0.2500
Y 0.2500 0.7500 0.7500
Y 0.7500 0.2500 0.2500
Y 0.7500 0.2500 0.7500
Y 0.7500 0.7500 0.2500
Y 0.7500 0.7500 0.7500
Pu 0.0000 0.0000 0.0000
Pu 0.0000 0.5000 0.5000
Pu 0.5000 0.0000 0.5000
Pu 0.5000 0.5000 0.0000
Cd 0.0000 0.0000 0.5000
Cd 0.0000 0.5000 0.0000
Cd 0.5000 0.0000 0.0000
Cd 0.5000 0.5000 0.5000


Entry 8:
Y2PuCd6 | PBE | optimized geometry

a = 8.7374 Å, b = 8.7374 Å, c = 3.3389 Å
α = 90.00°, β = 90.00°, γ = 120.00°
Atoms (fractional coordinates):
Y 0.3333 0.6667 0.0000
Y 0.6667 0.3333 0.0000
Pu 0.0000 0.0000 0.0000
Cd 0.0000 0.3352 0.5000
Cd 0.0000 0.6648 0.5000
Cd 0.3352 0.0000 0.5000
Cd 0.3352 0.3352 0.5000
Cd 0.6648 0.0000 0.5000
Cd 0.6648 0.6648 0.5000


Entry 9:
Y2PuCd | PBE | optimized geometry

Computed properties:
The calculation puts the offset from the most stable computed form at 51 meV per atom.

a = 5.5024 Å, b = 5.5024 Å, c = 3.6378 Å
α = 90.00°, β = 90.00°, γ = 90.00°
Atoms (fractional coordinates):
Y 0.0000 0.5000 0.0000
Y 0.5000 0.0000 0.0000
Pu 0.0000 0.0000 0.5000
Cd 0.5000 0.5000 0.5000


Entry 10:
YPuCd2 | PBE | optimized geometry

Computed properties:
The calculation puts the offset from the most stable computed form at 20 meV per atom.

a = 7.5389 Å, b = 7.5389 Å, c = 7.5389 Å
α = 90.00°, β = 90.00°, γ = 90.00°
Atoms (fractional coordinates):
Y 0.0000 0.0000 0.0000
Y 0.0000 0.5000 0.5000
Y 0.5000 0.0000 0.5000
Y 0.5000 0.5000 0.0000
Pu 0.0000 0.0000 0.5000
Pu 0.0000 0.5000 0.0000
Pu 0.5000 0.0000 0.0000
Pu 0.5000 0.5000 0.5000
Cd 0.2500 0.2500 0.2500
Cd 0.2500 0.2500 0.7500
Cd 0.2500 0.7500 0.2500
Cd 0.2500 0.7500 0.7500
Cd 0.7500 0.2500 0.2500
Cd 0.7500 0.2500 0.7500
Cd 0.7500 0.7500 0.2500
Cd 0.7500 0.7500 0.7500


Entry 11:
YPuCd2 | PBE | optimized geometry

Computed properties:
The calculation puts the offset from the most stable computed form at 0 meV per atom.

a = 5.3652 Å, b = 5.3652 Å, c = 3.7167 Å
α = 90.00°, β = 90.00°, γ = 90.00°
Atoms (fractional coordinates):
Y 0.0000 0.0000 0.0000
Pu 0.5000 0.5000 0.0000
Cd 0.0000 0.5000 0.5000
Cd 0.5000 0.0000 0.5000


Entry 12:
YPu2Cd6 | PBE | optimized geometry

a = 8.9025 Å, b = 8.9025 Å, c = 3.1588 Å
α = 90.00°, β = 90.00°, γ = 120.00°
Atoms (fractional coordinates):
Y 0.0000 0.0000 0.0000
Pu 0.3333 0.6667 0.0000
Pu 0.6667 0.3333 0.0000
Cd 0.0000 0.3316 0.5000
Cd 0.0000 0.6684 0.5000
Cd 0.3316 0.0000 0.5000
Cd 0.3316 0.3316 0.5000
Cd 0.6684 0.0000 0.5000
Cd 0.6684 0.6684 0.5000


| no. | E (eV per atom) |
| --- | --- |
| 1 | -1.862 |
| 2 | -4.989 |
| 3 | -6.472 |
| 4 | -6.826 |
| 5 | -7.107 |
| 6 | -5.786 |
| 7 | -6.976 |
| 8 | -3.882 |
| 9 | -7.056 |
| 10 | -5.774 |
| 11 | -5.793 |
| 12 | -4.690 |